Entry 1:
PBE Pr5Sm6Mg, optimized geometry; space-group type = No. 12; E_tot = -4.47 eV per atom
1.0
2.105 -3.588 4.752
2.438 -5.705 -1.190
12.808 1.226 3.632
Pr Sm Mg
5 6 1
Direct
0.333 0.333 0.000
0.667 0.667 0.000
0.833 0.333 0.500
0.500 0.000 0.500
0.167 0.667 0.500
0.081 0.000 0.248
0.575 0.672 0.752
0.425 0.328 0.248
0.919 0.000 0.752
0.753 0.672 0.248
0.247 0.328 0.752
0.000 0.000 0.000

Entry 2:
PBE FeSbIr2, optimized geometry; space-group type = No. 123; formation energy (no corrections) = 0.77 eV per formula unit; E_tot = -7.38 eV per atom
1.0
3.025 0.000 0.000
0.000 3.025 0.000
0.000 0.000 6.948
Sb Ir Fe
1 2 1
Direct
0.500 0.500 0.250
0.000 0.000 0.528
0.000 0.000 0.972
0.500 0.500 0.750

Entry 3:
PBE AlCuP2, optimized geometry; space-group type = No. 139; E_tot = -4.40 eV per atom
1.0
4.473 -0.013 0.000
0.713 4.416 0.000
-2.593 -2.202 2.905
P Al Cu
2 1 1
Direct
0.000 0.000 0.000
0.500 0.500 0.000
0.250 0.750 0.500
0.750 0.250 0.500